<w>
Sm2HoO, optimized geometry, DFT PBE-GGA; DOS at the Fermi energy = 5.1 states/eV per cell; total magnetization = 0.00 μB per cell
1.0
3.231 0.000 0.000
0.000 3.231 0.000
0.000 0.000 8.915
O Ho Sm
1 1 2
direct
0.500 0.500 0.000
0.500 0.500 0.500
0.000 0.000 0.827
0.000 0.000 0.173

---

<x>
Sm2HoO, optimized geometry, DFT PBE-GGA; DOS at the Fermi energy = 4.8 states/eV per cell; total magnetization = 0.00 μB per cell
1.0
3.581 0.000 0.000
1.791 3.102 0.000
1.791 1.034 9.256
O Ho Sm
1 1 2
direct
0.500 0.500 0.500
0.000 0.000 0.000
0.119 0.119 0.644
0.881 0.881 0.356

---

The structure with the most favorable energy is <x>; the runner-up is 0.326 eV/atom above it.

---

<w>
SrHo2O4, optimized geometry, DFT PBE-GGA; DOS at the Fermi energy = 0.0 states/eV per cell; total magnetization = 0.00 μB per cell
1.0
-2.779 -1.928 0.462
3.803 -6.985 -6.279
5.299 -5.423 9.242
Sr Ho O
4 8 16
direct
0.250 0.246 0.351
0.250 0.746 0.149
0.750 0.254 0.851
0.750 0.754 0.649
0.750 0.922 0.390
0.250 0.576 0.388
0.750 0.924 0.888
0.250 0.578 0.890
0.750 0.422 0.110
0.750 0.424 0.612
0.250 0.078 0.610
0.250 0.076 0.112
0.250 0.075 0.923
0.750 0.624 0.021
0.250 0.984 0.284
0.750 0.016 0.716
0.750 0.516 0.784
0.750 0.124 0.479
0.250 0.789 0.827
0.750 0.425 0.423
0.750 0.711 0.327
0.250 0.376 0.979
0.750 0.211 0.173
0.250 0.289 0.673
0.250 0.484 0.216
0.750 0.925 0.077
0.250 0.575 0.577
0.250 0.876 0.521

---

<x>
SrHo2O4, optimized geometry, DFT PBE-GGA; DOS at the Fermi energy = 0.0 states/eV per cell; total magnetization = 0.00 μB per cell
1.0
3.372 0.000 0.000
-1.686 5.587 0.000
0.000 0.000 11.146
Sr Ho O
2 4 8
direct
0.612 0.223 0.750
0.388 0.777 0.250
0.133 0.266 0.427
0.867 0.734 0.927
0.133 0.266 0.073
0.867 0.734 0.573
0.763 0.527 0.108
0.763 0.527 0.392
0.237 0.473 0.892
0.237 0.473 0.608
0.953 0.906 0.750
0.047 0.094 0.250
0.500 0.000 0.000
0.500 0.000 0.500

---

The structure with the most favorable energy is <w>; the runner-up is 0.029 eV/atom above it.

---

<w>
HoTa3O9, optimized geometry, DFT PBE-GGA; DOS at the Fermi energy = 0.0 states/eV per cell; total magnetization = 0.00 μB per cell
1.0
-6.413 -0.514 -3.867
-2.354 -2.189 4.195
-2.382 7.383 2.969
Ho Ta O
2 6 18
direct
0.250 0.966 0.435
0.750 0.034 0.565
0.000 0.000 0.000
0.500 0.000 0.000
0.493 0.529 0.696
0.007 0.529 0.696
0.993 0.471 0.304
0.507 0.471 0.304
0.250 0.903 0.978
0.935 0.852 0.784
0.565 0.852 0.784
0.956 0.743 0.467
0.544 0.743 0.467
0.250 0.667 0.653
0.946 0.674 0.120
0.554 0.674 0.120
0.250 0.579 0.314
0.750 0.421 0.686
0.054 0.326 0.880
0.446 0.326 0.880
0.750 0.333 0.347
0.044 0.257 0.533
0.456 0.257 0.533
0.065 0.148 0.216
0.435 0.148 0.216
0.750 0.097 0.022

---

<x>
HoTa3O9, optimized geometry, DFT PBE-GGA; DOS at the Fermi energy = 0.0 states/eV per cell; total magnetization = 0.00 μB per cell
1.0
6.450 0.000 0.000
0.000 7.629 0.000
0.000 0.000 12.582
Ho Ta O
4 12 36
direct
0.059 0.250 0.465
0.441 0.750 0.965
0.559 0.250 0.035
0.941 0.750 0.535
0.000 0.000 0.000
0.000 0.500 0.000
0.198 0.002 0.712
0.198 0.498 0.712
0.302 0.502 0.212
0.302 0.998 0.212
0.500 0.000 0.500
0.500 0.500 0.500
0.698 0.002 0.788
0.698 0.498 0.788
0.802 0.502 0.288
0.802 0.998 0.288
0.011 0.046 0.843
0.011 0.454 0.843
0.075 0.750 0.972
0.110 0.040 0.331
0.110 0.460 0.331
0.155 0.250 0.667
0.199 0.750 0.691
0.203 0.532 0.535
0.203 0.968 0.535
0.297 0.032 0.035
0.297 0.468 0.035
0.301 0.250 0.191
0.345 0.750 0.167
0.390 0.540 0.831
0.390 0.960 0.831
0.425 0.250 0.472
0.489 0.546 0.343
0.489 0.954 0.343
0.511 0.046 0.657
0.511 0.454 0.657
0.575 0.750 0.528
0.610 0.040 0.169
0.610 0.460 0.169
0.655 0.250 0.833
0.699 0.750 0.809
0.703 0.532 0.965
0.703 0.968 0.965
0.797 0.032 0.465
0.797 0.468 0.465
0.801 0.250 0.309
0.845 0.750 0.333
0.890 0.540 0.669
0.890 0.960 0.669
0.925 0.250 0.028
0.989 0.546 0.157
0.989 0.954 0.157

---

The structure with the most favorable energy is <w>; the runner-up is 0.024 eV/atom above it.

---

<w>
HoTc2O8, optimized geometry, DFT PBE-GGA; DOS at the Fermi energy = 3.1 states/eV per cell; total magnetization = 0.00 μB per cell
1.0
6.712 0.000 0.000
0.000 6.712 0.000
-3.356 -3.356 4.749
Ho Tc O
1 2 8
direct
0.500 0.500 0.000
0.750 0.250 0.500
0.250 0.750 0.500
0.643 0.357 0.286
0.070 0.357 0.714
0.643 0.357 0.714
0.357 0.070 0.714
0.643 0.930 0.286
0.930 0.643 0.286
0.357 0.643 0.286
0.357 0.643 0.714

---

<x>
HoTc2O8, optimized geometry, DFT PBE-GGA; DOS at the Fermi energy = 3.6 states/eV per cell; total magnetization = 1.07 μB per cell
1.0
-4.948 2.049 1.587
-2.811 -5.672 0.585
1.317 -0.067 6.220
Ho Tc O
1 2 8
direct
0.000 0.000 0.000
0.361 0.234 0.234
0.639 0.766 0.766
0.785 0.709 0.003
0.785 0.003 0.709
0.215 0.291 0.997
0.724 0.578 0.578
0.215 0.997 0.291
0.678 0.176 0.176
0.322 0.824 0.824
0.276 0.422 0.422

---

The structure with the most favorable energy is <w>; the runner-up is 0.120 eV/atom above it.

---

<w>
Ho2Te2O, optimized geometry, DFT PBE-GGA; DOS at the Fermi energy = 0.3 states/eV per cell; total magnetization = 0.00 μB per cell
1.0
-0.973 -1.219 3.616
-1.498 -6.813 -0.555
8.536 -2.365 3.644
Ho Te O
4 4 2
direct
0.116 0.198 0.571
0.643 0.888 0.826
0.884 0.802 0.429
0.357 0.112 0.174
0.639 0.389 0.332
0.927 0.237 0.910
0.361 0.611 0.668
0.073 0.763 0.090
0.676 0.037 0.612
0.324 0.963 0.388

---

<x>
Ho2Te2O, optimized geometry, DFT PBE-GGA; DOS at the Fermi energy = 0.1 states/eV per cell; total magnetization = 0.00 μB per cell
1.0
5.448 0.000 2.325
1.686 6.333 3.595
0.036 0.443 7.462
Ho Te O
4 4 2
direct
0.092 0.599 0.217
0.908 0.401 0.783
0.408 0.783 0.401
0.592 0.217 0.599
0.354 0.284 0.007
0.646 0.716 0.993
0.146 0.993 0.716
0.854 0.007 0.284
0.250 0.500 0.500
0.750 0.500 0.500

---

The structure with the most favorable energy is <w>; the runner-up is 0.007 eV/atom above it.

---

<w>
Ho2ThO, optimized geometry, DFT PBE-GGA; DOS at the Fermi energy = 1.9 states/eV per cell; total magnetization = 0.00 μB per cell
1.0
-2.472 1.906 1.546
-2.332 -1.533 2.085
3.669 1.410 8.050
O Ho Th
1 2 1
direct
0.000 0.000 0.000
0.719 0.719 0.842
0.281 0.281 0.158
0.500 0.500 0.500

---

<x>
Ho2ThO, optimized geometry, DFT PBE-GGA; DOS at the Fermi energy = 3.5 states/eV per cell; total magnetization = 0.00 μB per cell
1.0
-0.741 2.479 1.942
-2.597 0.647 -1.817
-4.648 -5.157 4.808
O Ho Th
1 2 1
direct
0.500 0.500 0.000
0.000 0.000 0.819
0.000 0.000 0.181
0.500 0.500 0.500

---

The structure with the most favorable energy is <w>; the runner-up is 0.562 eV/atom above it.

---

<w>
Ho2TlO, optimized geometry, DFT PBE-GGA; DOS at the Fermi energy = 5.3 states/eV per cell; total magnetization = 0.00 μB per cell
1.0
3.607 0.000 -0.008
0.001 6.348 0.000
0.023 0.002 8.174
Ho Tl O
4 2 2
direct
0.701 0.688 0.148
0.703 0.430 0.727
0.199 0.930 0.489
0.201 0.188 0.068
0.697 0.922 0.806
0.205 0.422 0.410
0.199 0.894 0.219
0.702 0.394 0.997

---

<x>
Ho2TlO, optimized geometry, DFT PBE-GGA; DOS at the Fermi energy = 7.4 states/eV per cell; total magnetization = 0.00 μB per cell
1.0
4.509 0.000 -0.007
0.000 4.509 -0.007
-0.003 -0.003 8.740
Ho Tl O
4 2 2
direct
0.751 0.751 0.829
0.750 0.250 0.500
0.249 0.249 0.171
0.250 0.750 0.500
0.251 0.251 0.802
0.749 0.749 0.198
0.250 0.250 0.430
0.750 0.750 0.570

---

The structure with the most favorable energy is <x>; the runner-up is 0.024 eV/atom above it.

---

<w>
Ho2TlO, optimized geometry, DFT PBE-GGA; DOS at the Fermi energy = 2.8 states/eV per cell; total magnetization = 0.37 μB per cell
1.0
3.128 0.000 0.000
0.000 3.128 0.000
0.000 0.000 7.886
Tl Ho O
1 2 1
direct
0.500 0.500 0.500
0.000 0.000 0.804
0.000 0.000 0.196
0.500 0.500 0.000

---

<x>
Ho2TlO, optimized geometry, DFT PBE-GGA; DOS at the Fermi energy = 2.6 states/eV per cell; total magnetization = 0.00 μB per cell
1.0
-2.976 2.725 -3.026
-2.613 -2.264 -3.672
-6.832 -0.737 1.853
Tl Ho O
1 2 1
direct
0.500 0.500 0.500
0.103 0.103 0.691
0.897 0.897 0.309
0.000 0.000 0.000

---

The structure with the most favorable energy is <x>; the runner-up is 0.149 eV/atom above it.